Computed, not measured: a relaxed structure of BeCuMo2 at the PBE level of DFT.

a b c (Å): 2.621 3.932 5.177
angles (deg): 90.00 94.24 90.00
Space group P2/m (No. 10)
One atom of each set of equivalent atoms:
Be: 0.000 0.000 0.000 (multiplicity 1)
Cu: 0.000 0.000 0.500 (multiplicity 1)
Mo: 0.475 0.500 0.241 (multiplicity 2)

Values from the calculation:
**Formation energy from the elements**: 57 kJ/mol of formula units